Record 1
Entry from Alexandria via LeMat-Bulk: TlPbAu2 at its PBEsol-relaxed geometry (meta-GGA SCAN).

Formation energy from the elements = 0.026 eV/atom
Energy relative to the lowest polymorph listed for this composition = 35 kJ/mol of formula units
Total energy = -71.587 eV per atom

Cell and atoms, written as CIF:
```
data_TlPbAu2
_chemical_formula_sum 'Tl2 Pb2 Au4'
_cell_length_a 3.1541
_cell_length_b 5.3667
_cell_length_c 10.6334
_cell_angle_alpha 90.00
_cell_angle_beta 90.00
_cell_angle_gamma 90.00
_symmetry_space_group_name_H-M 'I m m 2'
_symmetry_Int_Tables_number 44
loop_
_symmetry_equiv_pos_as_xyz
'x,y,z'
'-x,-y,z'
'-x,y,z'
'x,-y,z'
'x+1/2,y+1/2,z+1/2'
'-x+1/2,-y+1/2,z+1/2'
'-x+1/2,y+1/2,z+1/2'
'x+1/2,-y+1/2,z+1/2'
loop_
_atom_site_label
_atom_site_type_symbol
_atom_site_fract_x
_atom_site_fract_y
_atom_site_fract_z
Tl1 Tl 0.0000 0.0000 0.0000
Pb1 Pb 0.0000 0.5000 0.2065
Au1 Au 0.0000 0.0000 0.4668
Au2 Au 0.0000 0.5000 0.7508
```

=====

Record 2
Entry from Alexandria via LeMat-Bulk: TlPb2Au at its PBEsol-relaxed geometry (meta-GGA SCAN).

Formation energy from the elements = 0.019 eV/atom
Energy relative to the lowest polymorph listed for this composition = 16 kJ/mol of formula units
Total energy = -73.250 eV per atom

Cell and atoms, written as CIF:
```
data_TlPb2Au
_chemical_formula_sum 'Tl2 Pb4 Au2'
_cell_length_a 3.6024
_cell_length_b 5.3289
_cell_length_c 10.7589
_cell_angle_alpha 90.00
_cell_angle_beta 90.00
_cell_angle_gamma 90.00
_symmetry_space_group_name_H-M 'I m m 2'
_symmetry_Int_Tables_number 44
loop_
_symmetry_equiv_pos_as_xyz
'x,y,z'
'-x,-y,z'
'-x,y,z'
'x,-y,z'
'x+1/2,y+1/2,z+1/2'
'-x+1/2,-y+1/2,z+1/2'
'-x+1/2,y+1/2,z+1/2'
'x+1/2,-y+1/2,z+1/2'
loop_
_atom_site_label
_atom_site_type_symbol
_atom_site_fract_x
_atom_site_fract_y
_atom_site_fract_z
Tl1 Tl 0.0000 0.0000 0.0000
Pb1 Pb 0.0000 0.0000 0.4340
Pb2 Pb 0.0000 0.5000 0.2181
Au1 Au 0.0000 0.5000 0.7177
```

=====

Record 3
Entry from Alexandria via LeMat-Bulk: TlPb2Au at its PBEsol-relaxed geometry (meta-GGA SCAN).

Formation energy from the elements = 0.014 eV/atom
Energy relative to the lowest polymorph listed for this composition = 14 kJ/mol of formula units
Total energy = -73.256 eV per atom

Cell and atoms, written as CIF:
```
data_TlPb2Au
_chemical_formula_sum 'Tl2 Pb4 Au2'
_cell_length_a 4.7995
_cell_length_b 4.9872
_cell_length_c 8.5604
_cell_angle_alpha 90.00
_cell_angle_beta 90.00
_cell_angle_gamma 90.00
_symmetry_space_group_name_H-M 'C m m 2'
_symmetry_Int_Tables_number 35
loop_
_symmetry_equiv_pos_as_xyz
'x,y,z'
'-x,-y,z'
'-x,y,z'
'x,-y,z'
'x+1/2,y+1/2,z'
'-x+1/2,-y+1/2,z'
'-x+1/2,y+1/2,z'
'x+1/2,-y+1/2,z'
loop_
_atom_site_label
_atom_site_type_symbol
_atom_site_fract_x
_atom_site_fract_y
_atom_site_fract_z
Tl1 Tl 0.0000 0.0000 0.0000
Pb1 Pb 0.0000 0.0000 0.4233
Pb2 Pb 0.0000 0.5000 0.7157
Au1 Au 0.0000 0.5000 0.2117
```

=====

Record 4
Entry from Alexandria via LeMat-Bulk: TlPbAu2 at its PBEsol-relaxed geometry (meta-GGA SCAN).

Formation energy from the elements = -0.045 eV/atom
Energy relative to the lowest polymorph listed for this composition = 8 kJ/mol of formula units
Total energy = -71.658 eV per atom

Cell and atoms, written as CIF:
```
data_TlPbAu2
_chemical_formula_sum 'Tl3 Pb3 Au6'
_cell_length_a 3.9608
_cell_length_b 3.9608
_cell_length_c 21.8724
_cell_angle_alpha 90.00
_cell_angle_beta 90.00
_cell_angle_gamma 120.00
_symmetry_space_group_name_H-M 'R 3 m'
_symmetry_Int_Tables_number 160
_symmetry_space_group_name_Hall 'R 3 -2"'
loop_
_atom_site_label
_atom_site_type_symbol
_atom_site_fract_x
_atom_site_fract_y
_atom_site_fract_z
Tl1 Tl 0.0000 0.0000 0.0000
Pb1 Pb 0.0000 0.0000 0.2202
Au1 Au 0.0000 0.0000 0.4776
Au2 Au 0.0000 0.0000 0.7432
```

=====

Record 5
Entry from Alexandria via LeMat-Bulk: TlPb2Au at its PBEsol-relaxed geometry (meta-GGA SCAN).

Formation energy from the elements = 0.010 eV/atom
Energy relative to the lowest polymorph listed for this composition = 12 kJ/mol of formula units
Total energy = -73.259 eV per atom

Cell and atoms, written as CIF:
```
data_TlPb2Au
_chemical_formula_sum 'Tl3 Pb6 Au3'
_cell_length_a 3.5372
_cell_length_b 3.5372
_cell_length_c 29.0988
_cell_angle_alpha 90.00
_cell_angle_beta 90.00
_cell_angle_gamma 120.00
_symmetry_space_group_name_H-M 'R 3 m'
_symmetry_Int_Tables_number 160
_symmetry_space_group_name_Hall 'R 3 -2"'
loop_
_atom_site_label
_atom_site_type_symbol
_atom_site_fract_x
_atom_site_fract_y
_atom_site_fract_z
Tl1 Tl 0.0000 0.0000 0.0000
Pb1 Pb 0.0000 0.0000 0.5228
Pb2 Pb 0.0000 0.0000 0.7606
Au1 Au 0.0000 0.0000 0.2620
```

=====

Record 6
Entry from Alexandria via LeMat-Bulk: TlPb2Au at its PBEsol-relaxed geometry (meta-GGA SCAN).

Formation energy from the elements = -0.005 eV/atom
Energy relative to the lowest polymorph listed for this composition = 7 kJ/mol of formula units
Total energy = -73.274 eV per atom

Cell and atoms, written as CIF:
```
data_TlPb2Au
_chemical_formula_sum 'Tl2 Pb4 Au2'
_cell_length_a 12.4127
_cell_length_b 3.5540
_cell_length_c 5.2758
_cell_angle_alpha 90.00
_cell_angle_beta 115.01
_cell_angle_gamma 90.00
_symmetry_space_group_name_H-M 'C 1 2/m 1'
_symmetry_Int_Tables_number 12
loop_
_symmetry_equiv_pos_as_xyz
'x,y,z'
'-x,-y,-z'
'-x,y,-z'
'x,-y,z'
'x+1/2,y+1/2,z'
'-x+1/2,-y+1/2,-z'
'-x+1/2,y+1/2,-z'
'x+1/2,-y+1/2,z'
loop_
_atom_site_label
_atom_site_type_symbol
_atom_site_fract_x
_atom_site_fract_y
_atom_site_fract_z
Tl1 Tl 0.0000 0.0000 0.0000
Pb1 Pb 0.2084 0.0000 0.7086
Au1 Au 0.0000 0.5000 0.5000
```

=====

Record 7
Entry from Alexandria via LeMat-Bulk: TlPbAu2 at its PBEsol-relaxed geometry (meta-GGA SCAN).

Formation energy from the elements = 0.046 eV/atom
Energy relative to the lowest polymorph listed for this composition = 43 kJ/mol of formula units
Total energy = -71.568 eV per atom

Cell and atoms, written as CIF:
```
data_TlPbAu2
_chemical_formula_sum 'Tl1 Pb1 Au2'
_cell_length_a 3.5585
_cell_length_b 5.0097
_cell_length_c 5.0204
_cell_angle_alpha 90.00
_cell_angle_beta 90.00
_cell_angle_gamma 90.00
_symmetry_space_group_name_H-M 'P m m m'
_symmetry_Int_Tables_number 47
loop_
_symmetry_equiv_pos_as_xyz
'x,y,z'
'-x,-y,-z'
'-x,-y,z'
'x,y,-z'
'x,-y,-z'
'-x,y,z'
'-x,y,-z'
'x,-y,z'
loop_
_atom_site_label
_atom_site_type_symbol
_atom_site_fract_x
_atom_site_fract_y
_atom_site_fract_z
Tl1 Tl 0.0000 0.0000 0.0000
Pb1 Pb 0.0000 0.5000 0.5000
Au1 Au 0.5000 0.0000 0.5000
Au2 Au 0.5000 0.5000 0.0000
```

=====

Record 8
Entry from Alexandria via LeMat-Bulk: TlPbAu2 at its PBEsol-relaxed geometry (meta-GGA SCAN).

Formation energy from the elements = 0.024 eV/atom
Energy relative to the lowest polymorph listed for this composition = 34 kJ/mol of formula units
Total energy = -71.589 eV per atom

Cell and atoms, written as CIF:
```
data_TlPbAu2
_chemical_formula_sum 'Tl2 Pb2 Au4'
_cell_length_a 10.5908
_cell_length_b 3.3114
_cell_length_c 5.3580
_cell_angle_alpha 90.00
_cell_angle_beta 108.35
_cell_angle_gamma 90.00
_symmetry_space_group_name_H-M 'C 1 m 1'
_symmetry_Int_Tables_number 8
loop_
_symmetry_equiv_pos_as_xyz
'x,y,z'
'x,-y,z'
'x+1/2,y+1/2,z'
'x+1/2,-y+1/2,z'
loop_
_atom_site_label
_atom_site_type_symbol
_atom_site_fract_x
_atom_site_fract_y
_atom_site_fract_z
Tl1 Tl 0.0000 0.0000 0.0000
Pb1 Pb 0.2080 0.0000 0.6459
Au1 Au 0.2530 0.5000 0.1771
Au2 Au 0.4614 0.0000 0.4714
```

=====

Record 9
Entry from Alexandria via LeMat-Bulk: TlPb2Au at its PBEsol-relaxed geometry (meta-GGA SCAN).

Formation energy from the elements = -0.022 eV/atom
Energy relative to the lowest polymorph listed for this composition = 0 kJ/mol of formula units
Total energy = -73.291 eV per atom

Cell and atoms, written as CIF:
```
data_TlPb2Au
_chemical_formula_sum 'Tl1 Pb2 Au1'
_cell_length_a 3.4957
_cell_length_b 3.4957
_cell_length_c 8.4425
_cell_angle_alpha 90.00
_cell_angle_beta 90.00
_cell_angle_gamma 90.00
_symmetry_space_group_name_H-M 'P 4/m m m'
_symmetry_Int_Tables_number 123
_symmetry_space_group_name_Hall '-P 4 2'
loop_
_atom_site_label
_atom_site_type_symbol
_atom_site_fract_x
_atom_site_fract_y
_atom_site_fract_z
Tl1 Tl 0.0000 0.0000 0.0000
Pb1 Pb 0.5000 0.5000 0.2902
Au1 Au 0.0000 0.0000 0.5000
```

=====

Record 10
Entry from Alexandria via LeMat-Bulk: TlPbAu2 at its PBEsol-relaxed geometry (meta-GGA SCAN).

Formation energy from the elements = -0.040 eV/atom
Energy relative to the lowest polymorph listed for this composition = 10 kJ/mol of formula units
Total energy = -71.653 eV per atom

Cell and atoms, written as CIF:
```
data_TlPbAu2
_chemical_formula_sum 'Tl3 Pb3 Au6'
_cell_length_a 4.0445
_cell_length_b 4.0445
_cell_length_c 20.5890
_cell_angle_alpha 90.00
_cell_angle_beta 90.00
_cell_angle_gamma 120.00
_symmetry_space_group_name_H-M 'R -3 m'
_symmetry_Int_Tables_number 166
_symmetry_space_group_name_Hall '-R 3 2"'
loop_
_atom_site_label
_atom_site_type_symbol
_atom_site_fract_x
_atom_site_fract_y
_atom_site_fract_z
Tl1 Tl 0.0000 0.0000 0.0000
Pb1 Pb 0.0000 0.0000 0.5000
Au1 Au 0.0000 0.0000 0.2511
```

=====

Record 11
Entry from Alexandria via LeMat-Bulk: PbWAu2 at its PBEsol-relaxed geometry (meta-GGA SCAN).

Formation energy from the elements = 0.595 eV/atom
Total energy = -70.351 eV per atom

Cell and atoms, written as CIF:
```
data_PbWAu2
_chemical_formula_sum 'Pb2 W2 Au4'
_cell_length_a 5.6562
_cell_length_b 8.7344
_cell_length_c 2.9685
_cell_angle_alpha 90.00
_cell_angle_beta 90.00
_cell_angle_gamma 90.00
_symmetry_space_group_name_H-M 'C m m m'
_symmetry_Int_Tables_number 65
_symmetry_space_group_name_Hall '-C 2 2'
loop_
_atom_site_label
_atom_site_type_symbol
_atom_site_fract_x
_atom_site_fract_y
_atom_site_fract_z
Pb1 Pb 0.0000 0.0000 0.0000
W1 W 0.0000 0.5000 0.0000
Au1 Au 0.2500 0.2500 0.5000
```

=====

Record 12
Entry from Alexandria via LeMat-Bulk: Pb2WAu at its PBEsol-relaxed geometry (meta-GGA SCAN).

Formation energy from the elements = 0.957 eV/atom
Energy relative to the lowest polymorph listed for this composition = 55 kJ/mol of formula units
Total energy = -71.645 eV per atom

Cell and atoms, written as CIF:
```
data_Pb2WAu
_chemical_formula_sum 'Pb4 W2 Au2'
_cell_length_a 4.3768
_cell_length_b 4.3768
_cell_length_c 8.6327
_cell_angle_alpha 90.00
_cell_angle_beta 90.00
_cell_angle_gamma 90.00
_symmetry_space_group_name_H-M 'I 4/m m m'
_symmetry_Int_Tables_number 139
_symmetry_space_group_name_Hall '-I 4 2'
loop_
_atom_site_label
_atom_site_type_symbol
_atom_site_fract_x
_atom_site_fract_y
_atom_site_fract_z
Pb1 Pb 0.0000 0.5000 0.2500
W1 W 0.0000 0.0000 0.0000
Au1 Au 0.0000 0.0000 0.5000
```

=====

> What is the formula in the seventh record?

TlPbAu2

=====

> total energy of number 10 (TlPbAu2)?

-71.653 eV per atom

=====

> What is the formation energy from the elements in the third record?

0.014 eV/atom